[1]
VASP calculation (PBE-GGA) on KSrHgRh2 after structural relaxation.

Summary:
**DOS(E_F)**: 6.38 states/eV per cell
**Energy of formation**: 5.3 eV per formula unit
**Crystal system**: tetragonal

Lattice parameters (Å, degrees): 5.0025 5.5633 5.0025 90.00 90.00 90.00
With the nearest neighbours (Å) after each atom.
Sites, in units of the cell vectors:
1 Sr 0.5000 0.5000 0.5000  4 Hg 3.54, 8 Rh 3.74
2 K 0.0000 0.0000 0.0000  4 Rh 2.50, 2 Hg 2.78
3 Rh 0.0000 0.0000 0.5000  2 K 2.50
4 Rh 0.5000 0.0000 0.0000  2 K 2.50
5 Hg 0.0000 0.5000 0.0000  2 K 2.78

[2]
VASP calculation (PBE-GGA) on KTcHg2Rh after structural relaxation.

Summary:
**DOS(E_F)**: 6.15 states/eV per cell
**Energy of formation**: 7.3 eV per formula unit
**Crystal system**: tetragonal

Lattice parameters (Å, degrees): 5.2653 5.7467 5.2653 90.00 90.00 90.00
With the nearest neighbours (Å) after each atom.
Sites, in units of the cell vectors:
1 K 0.0000 0.5000 0.0000  2 Tc 2.87
2 Rh 0.5000 0.5000 0.5000  4 K 3.72, 8 Hg 3.90
3 Hg 0.0000 0.0000 0.5000  2 Tc 2.63
4 Hg 0.5000 0.0000 0.0000  2 Tc 2.63
5 Tc 0.0000 0.0000 0.0000  4 Hg 2.63, 2 K 2.87

[3]
VASP calculation (PBE-GGA) on KHg2TeRh after structural relaxation.

Summary:
**DOS(E_F)**: 3.97 states/eV per cell
**ΔE to the lowest computed polymorph**: 0 meV/atom
**Crystal system**: tetragonal

Lattice parameters (Å, degrees): 5.3325 5.3325 5.2975 90.00 90.00 90.00
With the nearest neighbours (Å) after each atom.
Sites, in units of the cell vectors:
1 K 0.5000 0.5000 0.5000  8 Hg 3.76, 4 Te 3.77
2 Te 0.0000 0.0000 0.5000  2 Rh 2.65
3 Rh 0.0000 0.0000 0.0000  2 Te 2.65, 4 Hg 2.67
4 Hg 0.0000 0.5000 0.0000  2 Rh 2.67
5 Hg 0.5000 0.0000 0.0000  2 Rh 2.67

[4]
VASP calculation (PBE-GGA) on KHg2TeRh after structural relaxation.

Summary:
**DOS(E_F)**: 8.49 states/eV per cell
**ΔE to the lowest computed polymorph**: 1366 meV/atom
**Crystal system**: tetragonal

Lattice parameters (Å, degrees): 5.7777 5.1356 5.7777 90.00 90.00 90.00
With the nearest neighbours (Å) after each atom.
Sites, in units of the cell vectors:
1 K 0.0000 0.0000 0.0000  2 Rh 2.57
2 Te 0.5000 0.5000 0.5000  8 Hg 3.87, 4 Rh 4.09
3 Rh 0.0000 0.5000 0.0000  2 K 2.57
4 Hg 0.0000 0.0000 0.5000  2 K 2.89
5 Hg 0.5000 0.0000 0.0000  2 K 2.89

[5]
VASP calculation (PBE-GGA) on KTl7HgRh2 after structural relaxation.

Summary:
**DOS(E_F)**: 5.28 states/eV per cell
**Energy of formation**: 0.1 eV per formula unit
**Crystal system**: tetragonal

Lattice parameters (Å, degrees): 5.3057 5.3057 13.5049 90.00 90.00 90.00
With the nearest neighbours (Å) after each atom.
Sites, in units of the cell vectors:
1 K 0.0000 0.0000 0.5000  8 Tl 4.02
2 Tl 0.5000 0.5000 0.6067  1 Rh 2.66, 1 Tl 2.88
3 Tl 0.0000 0.5000 0.1963  2 Rh 2.65
4 Tl 0.5000 0.0000 0.1963  2 Rh 2.65
5 Tl 0.0000 0.5000 0.8037  2 Rh 2.65
6 Tl 0.5000 0.0000 0.8037  2 Rh 2.65
7 Tl 0.5000 0.5000 0.3933  1 Rh 2.66, 1 Tl 2.88
8 Tl 0.5000 0.5000 0.0000  2 Rh 2.65
9 Hg 0.0000 0.0000 0.0000  12 Tl 3.75
10 Rh 0.5000 0.5000 0.1966  6 Tl 2.65-2.66
11 Rh 0.5000 0.5000 0.8034  6 Tl 2.65-2.66

[6]
VASP calculation (PBE-GGA) on KYHgRh2 after structural relaxation.

Summary:
**DOS(E_F)**: 0.61 states/eV per cell
**Energy of formation**: 3.7 eV per formula unit
**Crystal system**: tetragonal

Lattice parameters (Å, degrees): 4.9798 6.5254 4.9798 90.00 90.00 90.00
With the nearest neighbours (Å) after each atom.
Sites, in units of the cell vectors:
1 Y 0.0000 0.0000 0.0000  4 Rh 2.49
2 K 0.0000 0.5000 0.0000  2 Y 3.26, 4 Hg 3.52
3 Rh 0.0000 0.0000 0.5000  2 Y 2.49
4 Rh 0.5000 0.0000 0.0000  2 Y 2.49
5 Hg 0.5000 0.5000 0.5000  4 K 3.52

[7]
VASP calculation (PBE-GGA) on KZn2HgRh after structural relaxation.

Summary:
**DOS(E_F)**: 1.61 states/eV per cell
**Energy of formation**: -0.7 eV per formula unit
**Crystal system**: tetragonal

Lattice parameters (Å, degrees): 4.9044 4.9044 5.3279 90.00 90.00 90.00
With the nearest neighbours (Å) after each atom.
Sites, in units of the cell vectors:
1 K 0.5000 0.5000 0.5000  4 Hg 3.47, 8 Zn 3.62
2 Zn 0.0000 0.5000 0.0000  2 Rh 2.45
3 Zn 0.5000 0.0000 0.0000  2 Rh 2.45
4 Rh 0.0000 0.0000 0.0000  4 Zn 2.45, 2 Hg 2.66
5 Hg 0.0000 0.0000 0.5000  2 Rh 2.66

[8]
VASP calculation (PBE-GGA) on KHgRu2 after structural relaxation.

Summary:
**DOS(E_F)**: 5.69 states/eV per cell
**Energy of formation**: 3.7 eV per formula unit
**Crystal system**: monoclinic

Lattice parameters (Å, degrees): 5.0408 2.8534 6.4069 83.63 90.00 90.00
With the nearest neighbours (Å) after each atom.
Sites, in units of the cell vectors:
1 Hg 0.5000 0.2500 0.2500  4 Ru 2.83, 2 Hg 2.85
2 K 0.5000 0.7500 0.7500  2 K 2.85
3 Ru 0.0000 0.0267 0.0880  2 Ru 2.46-2.55
4 Ru 0.0000 0.4733 0.4120  2 Ru 2.46-2.55

[9]
VASP calculation (PBE-GGA) on KHgRu after structural relaxation.

Summary:
**DOS(E_F)**: 4.98 states/eV per cell
**Energy of formation**: 4.8 eV per formula unit
**ΔE to the lowest computed polymorph**: 933 meV/atom
**Crystal system**: cubic

Lattice parameters (Å, degrees): 5.2002 5.2002 5.2002 60.00 60.00 60.00
With the nearest neighbours (Å) after each atom.
Sites, in units of the cell vectors:
1 Hg 0.5000 0.5000 0.5000  4 K 3.18
2 K 0.7500 0.7500 0.7500  4 Hg 3.18, 4 Ru 3.18
3 Ru 0.0000 0.0000 0.0000  4 K 3.18

[10]
VASP calculation (PBE-GGA) on KHgRu4 after structural relaxation.

Summary:
**DOS(E_F)**: 8.07 states/eV per cell
**Energy of formation**: 5.5 eV per formula unit
**Crystal system**: cubic

Lattice parameters (Å, degrees): 5.3448 5.3448 5.3448 60.00 60.00 60.00
With the nearest neighbours (Å) after each atom.
Sites, in units of the cell vectors:
1 K 0.0000 0.0000 0.0000  12 Ru 3.13, 4 Hg 3.27
2 Hg 0.7500 0.7500 0.7500  12 Ru 3.13, 4 K 3.27
3 Ru 0.8734 0.3755 0.3755  6 Ru 2.66-2.68
4 Ru 0.3755 0.3755 0.8734  6 Ru 2.66-2.68
5 Ru 0.3755 0.8734 0.3755  6 Ru 2.66-2.68
6 Ru 0.3755 0.3755 0.3755  6 Ru 2.66-2.68

[11]
VASP calculation (PBE-GGA) on KHg3Ru after structural relaxation.

Summary:
**DOS(E_F)**: 3.29 states/eV per cell
**Energy of formation**: 0.6 eV per formula unit
**ΔE to the lowest computed polymorph**: 0 meV/atom
**Crystal system**: cubic

Lattice parameters (Å, degrees): 5.3125 5.3125 5.3125 90.00 90.00 90.00
With the nearest neighbours (Å) after each atom.
Sites, in units of the cell vectors:
1 Ru 0.0000 0.0000 0.0000  6 Hg 2.66
2 K 0.5000 0.5000 0.5000  12 Hg 3.76
3 Hg 0.0000 0.5000 0.0000  2 Ru 2.66
4 Hg 0.0000 0.0000 0.5000  2 Ru 2.66
5 Hg 0.5000 0.0000 0.0000  2 Ru 2.66

[12]
VASP calculation (PBE-GGA) on KHgRu2 after structural relaxation.

Summary:
**DOS(E_F)**: 3.99 states/eV per cell
**Energy of formation**: 4.9 eV per formula unit
**Crystal system**: tetragonal

Lattice parameters (Å, degrees): 5.5966 5.5966 5.5966 136.93 136.93 62.55
With the nearest neighbours (Å) after each atom.
Sites, in units of the cell vectors:
1 Hg 0.2500 0.7500 0.5000  4 K 2.91, 8 Ru 3.15
2 K 0.7500 0.2500 0.5000  4 Hg 2.91, 8 Ru 3.15
3 Ru 0.0000 0.0000 0.0000  4 Ru 2.91, 4 K 3.15, 4 Hg 3.15
4 Ru 0.5000 0.5000 0.0000  4 Ru 2.91, 4 Hg 3.15, 4 K 3.15

no.,total magnetic moment (Bohr magnetons per cell)
1,0.00
2,3.89
3,0.00
4,0.00
5,0.00
6,0.00
7,0.00
8,2.61
9,2.83
10,3.61
11,0.07
12,3.40